No. 1
DFT (PBE) results for CsRbInRu2 after structural relaxation.

Cell lengths 5.196, 6.333, 5.196 Å; angles 90.00, 90.00, 90.00 degrees
Sites, in units of the cell vectors:
Cs1 0.500 0.500 0.500
Ru1 0.000 0.000 0.500
Ru2 0.500 0.000 0.000
Rb1 0.000 0.500 0.000
In1 0.000 0.000 0.000

Values from the calculation:
- ΔE_f: 1.277 eV/atom
- DFT total energy: -16.729 eV per cell

---

No. 2
DFT (PBE) results for TbPm2SmY2 after structural relaxation.

Cell lengths 3.566, 6.157, 18.412 Å; angles 90.00, 90.00, 90.00 degrees
Sites, in units of the cell vectors:
Tb1 0.000 0.000 0.000
Tb2 0.500 0.500 0.500
Pm1 0.500 0.833 0.155
Pm2 0.000 0.333 0.345
Pm3 0.500 0.167 0.845
Pm4 0.000 0.667 0.655
Sm1 0.500 0.500 0.000
Sm2 0.000 0.000 0.500
Y1 0.500 0.835 0.341
Y2 0.500 0.165 0.659
Y3 0.000 0.665 0.841
Y4 0.000 0.335 0.159

Values from the calculation:
- ΔE_f: 0.098 eV/atom
- DFT total energy: -62.377 eV per cell

---

No. 3
DFT (PBE) results for BaCa2Ru after structural relaxation.

Cell lengths 5.691, 5.691, 7.764 Å; angles 68.87, 68.87, 39.18 degrees
Sites, in units of the cell vectors:
Ru1 0.528 0.528 0.632
Ca1 0.000 0.000 0.917
Ca2 0.808 0.808 0.642
Ba1 0.164 0.164 0.309

Values from the calculation:
- ΔE_f: 0.233 eV/atom
- DFT total energy: -14.269 eV per cell

---

No. 4
DFT (PBE) results for Pm2Al3Zn9 after structural relaxation.

Cell lengths 7.789, 7.789, 9.350 Å; angles 90.00, 90.00, 119.29 degrees
Sites, in units of the cell vectors:
Pm1 0.674 0.000 0.250
Pm2 0.326 0.000 0.750
Pm3 0.000 0.674 0.250
Pm4 0.000 0.326 0.750
Al1 0.000 0.000 0.000
Al2 0.000 0.000 0.500
Al3 0.315 0.685 0.000
Al4 0.685 0.315 0.500
Al5 0.685 0.315 0.000
Al6 0.315 0.685 0.500
Zn1 0.143 0.143 0.250
Zn2 0.857 0.857 0.750
Zn3 0.340 0.340 0.561
Zn4 0.660 0.660 0.061
Zn5 0.340 0.340 0.939
Zn6 0.660 0.660 0.439
Zn7 0.543 0.351 0.250
Zn8 0.457 0.649 0.750
Zn9 0.351 0.543 0.250
Zn10 0.649 0.457 0.750
Zn11 0.340 0.026 0.088
Zn12 0.660 0.974 0.588
Zn13 0.026 0.340 0.412
Zn14 0.974 0.660 0.912
Zn15 0.660 0.974 0.912
Zn16 0.340 0.026 0.412
Zn17 0.974 0.660 0.588
Zn18 0.026 0.340 0.088

Values from the calculation:
- ΔE_f: -0.268 eV/atom
- DFT total energy: -71.903 eV per cell

---

No. 5
DFT (PBE) results for NdDy7Tm2 after structural relaxation.

Cell lengths 5.634, 9.079, 9.079 Å; angles 122.39, 90.00, 90.00 degrees
Sites, in units of the cell vectors:
Nd1 0.000 0.000 0.000
Dy1 0.000 0.780 0.220
Dy2 0.000 0.220 0.780
Dy3 0.500 0.061 0.293
Dy4 0.500 0.939 0.707
Dy5 0.500 0.293 0.061
Dy6 0.500 0.707 0.939
Dy7 0.500 0.500 0.500
Tm1 0.500 0.704 0.296
Tm2 0.500 0.296 0.704

Values from the calculation:
- ΔE_f: 0.696 eV/atom
- DFT total energy: -38.964 eV per cell

---

No. 6
DFT (PBE) results for ErPaFe2 after structural relaxation.

Cell lengths 3.299, 3.299, 6.715 Å; angles 90.00, 90.00, 90.00 degrees
Sites, in units of the cell vectors:
Pa1 0.500 0.500 0.000
Fe1 0.000 0.000 0.793
Fe2 0.000 0.000 0.207
Er1 0.500 0.500 0.500

Values from the calculation:
- ΔE_f: -0.082 eV/atom
- DFT total energy: -31.313 eV per cell

---

No. 7
DFT (PBE) results for Ac12Tb7Nd after structural relaxation.

Cell lengths 6.636, 12.185, 12.185 Å; angles 116.78, 100.46, 100.46 degrees
Sites, in units of the cell vectors:
Ac1 0.088 0.587 0.174
Ac2 0.087 0.174 0.588
Ac3 0.565 0.655 0.001
Ac4 0.436 0.001 0.346
Ac5 0.499 0.412 0.587
Ac6 0.090 0.654 0.655
Ac7 0.910 0.346 0.345
Ac8 0.501 0.588 0.413
Ac9 0.564 0.999 0.654
Ac10 0.435 0.345 0.999
Ac11 0.913 0.826 0.412
Ac12 0.912 0.413 0.826
Tb1 0.106 0.759 0.001
Tb2 0.895 0.001 0.242
Tb3 0.653 0.758 0.759
Tb4 0.500 0.000 0.000
Tb5 0.347 0.242 0.241
Tb6 0.105 0.999 0.758
Tb7 0.894 0.241 0.999
Nd1 0.000 0.000 0.000

Values from the calculation:
- ΔE_f: 0.220 eV/atom
- DFT total energy: -82.078 eV per cell

---

No. 8
DFT (PBE) results for KPuAu2 after structural relaxation.

Cell lengths 4.228, 4.228, 8.582 Å; angles 75.74, 75.74, 60.00 degrees
Sites, in units of the cell vectors:
K1 0.500 0.500 0.500
Au1 0.264 0.264 0.209
Au2 0.736 0.736 0.791
Pu1 0.000 0.000 0.000

Values from the calculation:
- ΔE_f: -0.197 eV/atom
- DFT total energy: -22.773 eV per cell

---

No. 9
DFT (PBE) results for W2Se2Cl after structural relaxation.

Cell lengths 3.085, 3.085, 11.199 Å; angles 97.92, 97.92, 90.00 degrees
Sites, in units of the cell vectors:
W1 0.895 0.895 0.790
W2 0.105 0.105 0.210
Se1 0.670 0.670 0.341
Se2 0.330 0.330 0.659
Cl1 0.000 0.000 0.000

Values from the calculation:
- Raw formation energy: 1.36 eV/f.u.
- DFT total energy: -33.358 eV per cell

---

No. 10
DFT (PBE) results for PuZnCdO4 after structural relaxation.

Cell lengths 6.386, 6.569, 6.911 Å; angles 121.74, 90.00, 119.08 degrees
Sites, in units of the cell vectors:
Pu1 0.500 0.000 0.500
Pu2 0.500 0.000 0.000
Zn1 0.500 0.500 0.500
Zn2 0.000 0.500 0.500
Cd1 0.854 0.709 0.104
Cd2 0.146 0.291 0.896
O1 0.740 0.479 0.699
O2 0.278 0.000 0.250
O3 0.722 0.000 0.250
O4 0.740 0.479 0.280
O5 0.260 0.521 0.720
O6 0.722 0.000 0.750
O7 0.278 0.000 0.750
O8 0.260 0.521 0.301

Values from the calculation:
- Raw formation energy: -13.30 eV/f.u.
- DFT total energy: -99.302 eV per cell

---

Repeat the first record exactly.
DFT (PBE) results for CsRbInRu2 after structural relaxation.

Cell lengths 5.196, 6.333, 5.196 Å; angles 90.00, 90.00, 90.00 degrees
Sites, in units of the cell vectors:
Cs1 0.500 0.500 0.500
Ru1 0.000 0.000 0.500
Ru2 0.500 0.000 0.000
Rb1 0.000 0.500 0.000
In1 0.000 0.000 0.000

Values from the calculation:
- ΔE_f: 1.277 eV/atom
- DFT total energy: -16.729 eV per cell

---

Copy entry 10 word for word.
DFT (PBE) results for PuZnCdO4 after structural relaxation.

Cell lengths 6.386, 6.569, 6.911 Å; angles 121.74, 90.00, 119.08 degrees
Sites, in units of the cell vectors:
Pu1 0.500 0.000 0.500
Pu2 0.500 0.000 0.000
Zn1 0.500 0.500 0.500
Zn2 0.000 0.500 0.500
Cd1 0.854 0.709 0.104
Cd2 0.146 0.291 0.896
O1 0.740 0.479 0.699
O2 0.278 0.000 0.250
O3 0.722 0.000 0.250
O4 0.740 0.479 0.280
O5 0.260 0.521 0.720
O6 0.722 0.000 0.750
O7 0.278 0.000 0.750
O8 0.260 0.521 0.301

Values from the calculation:
- Raw formation energy: -13.30 eV/f.u.
- DFT total energy: -99.302 eV per cell

---

Question: Which of these has the highest DFT total energy?
Answer: BaCa2Ru

---

Question: DFT total energy of number 9 (W2Se2Cl)?
Answer: -33.358 eV per cell